## P
Material: Be3PI
Method: DFT, GGA-PBE
State: relaxed

Values from the calculation:
* total magnetization: 0.0 μB/f.u.

Lattice parameters (Å, degrees): 4.681 4.681 4.681 90.00 90.00 90.00
Fractional coordinates of all 5 atoms:
Be  0.000  0.000  0.500
Be  0.000  0.500  0.000
Be  0.500  0.000  0.000
P  0.500  0.500  0.500
I  0.000  0.000  0.000

***

## Q
Material: Be3PI
Method: DFT, GGA-PBE
State: relaxed

Values from the calculation:
* total magnetization: 0.0 μB/f.u.

Lattice parameters (Å, degrees): 4.383 4.383 4.383 90.00 90.00 90.00
Fractional coordinates of all 5 atoms:
Be  0.000  0.000  0.500
Be  0.000  0.500  0.000
Be  0.500  0.000  0.000
P  0.000  0.000  0.000
I  0.500  0.500  0.500

***

Q wins, 1124 meV/atom ahead of the next structure.

***

## P
Material: BePI2
Method: DFT, GGA-PBE
State: relaxed

Values from the calculation:
* total magnetization: 0.0 μB/f.u.

Lattice parameters (Å, degrees): 5.038 5.038 5.038 60.00 60.00 60.00
Fractional coordinates of all 4 atoms:
Be  0.000  0.000  0.000
P  0.500  0.500  0.500
I  0.250  0.250  0.250
I  0.750  0.750  0.750

***

## Q
Material: BePI2
Method: DFT, GGA-PBE
State: relaxed

Values from the calculation:
* total magnetization: 3.0 μB/f.u.

Lattice parameters (Å, degrees): 7.261 7.261 7.261 117.30 117.30 94.74
Fractional coordinates of all 8 atoms:
Be  0.000  0.000  0.000
Be  0.750  0.250  0.500
P  0.250  0.750  0.500
P  0.500  0.500  0.000
I  0.004  0.625  0.879
I  0.375  0.254  0.379
I  0.746  0.125  0.121
I  0.875  0.996  0.621

***

Q wins, 532 meV/atom ahead of the next structure.

***

## P
Material: BeP3I
Method: DFT, GGA-PBE
State: relaxed

Values from the calculation:
* total magnetization: 0.0 μB/f.u.

Lattice parameters (Å, degrees): 4.448 4.448 4.448 90.00 90.00 90.00
Fractional coordinates of all 5 atoms:
Be  0.000  0.000  0.000
P  0.000  0.000  0.500
P  0.000  0.500  0.000
P  0.500  0.000  0.000
I  0.500  0.500  0.500

***

## Q
Material: BeP3I
Method: DFT, GGA-PBE
State: relaxed

Values from the calculation:
* total magnetization: 0.0 μB/f.u.

Lattice parameters (Å, degrees): 5.095 5.095 5.095 90.00 90.00 90.00
Fractional coordinates of all 5 atoms:
Be  0.000  0.000  0.000
P  0.000  0.500  0.500
P  0.500  0.000  0.500
P  0.500  0.500  0.000
I  0.500  0.500  0.500

***

P wins, 1188 meV/atom ahead of the next structure.

***

## P
Material: BeP2SI
Method: DFT, GGA-PBE
State: relaxed

Values from the calculation:
* total magnetization: 1.2 μB/f.u.

Lattice parameters (Å, degrees): 5.195 5.195 4.990 90.00 90.00 90.00
Fractional coordinates of all 5 atoms:
Be  0.000  0.000  0.000
P  0.000  0.500  0.500
P  0.500  0.000  0.500
S  0.500  0.500  0.000
I  0.500  0.500  0.500

***

## Q
Material: BeP2SI
Method: DFT, GGA-PBE
State: relaxed

Values from the calculation:
* total magnetization: 0.0 μB/f.u.

Lattice parameters (Å, degrees): 4.686 4.686 4.102 90.00 90.00 90.00
Fractional coordinates of all 5 atoms:
Be  0.000  0.000  0.000
P  0.000  0.500  0.000
P  0.500  0.000  0.000
S  0.000  0.000  0.500
I  0.500  0.500  0.500

***

Q wins, 1142 meV/atom ahead of the next structure.